NbCuBIr: relaxed, PBE.

Summary:
For the volume, the calculation gives 13.34 Å³/atom. Its space-group type is F-43m, No. 216. The total moment is 0.00 μB/f.u. The value obtained for the excess energy over the best structure of this formula in the dataset is 73 kJ/mol of formula units. Its crystal system is cubic.

Lattice parameters (Å, degrees): 4.226 4.226 4.226 60.00 60.00 60.00
Fractional coordinates of all 4 atoms:
B 0.500 0.500 0.500
Cu 0.750 0.750 0.750
Ir 0.000 0.000 0.000
Nb 0.250 0.250 0.250

---

CuBIrPd: relaxed, PBE.

Summary:
For the volume, the calculation gives 12.48 Å³/atom. Its space-group type is F-43m, No. 216. The total moment is 0.00 μB/f.u. The value obtained for the excess energy over the best structure of this formula in the dataset is 0 kJ/mol of formula units. Its crystal system is cubic.

Lattice parameters (Å, degrees): 4.133 4.133 4.133 60.00 60.00 60.00
Fractional coordinates of all 4 atoms:
B 0.000 0.000 0.000
Cu 0.750 0.750 0.750
Ir 0.250 0.250 0.250
Pd 0.500 0.500 0.500

---

CuBIrPt: relaxed, PBE.

Summary:
For the volume, the calculation gives 12.86 Å³/atom. Its space-group type is F-43m, No. 216. The total moment is 0.00 μB/f.u. The value obtained for the excess energy over the best structure of this formula in the dataset is 0 kJ/mol of formula units. Its crystal system is cubic.

Lattice parameters (Å, degrees): 4.174 4.174 4.174 60.00 60.00 60.00
Fractional coordinates of all 4 atoms:
B 0.000 0.000 0.000
Cu 0.750 0.750 0.750
Ir 0.250 0.250 0.250
Pt 0.500 0.500 0.500

---

CuReBIr: relaxed, PBE.

Summary:
For the volume, the calculation gives 12.57 Å³/atom. Its space-group type is F-43m, No. 216. The total moment is 0.00 μB/f.u. The value obtained for the excess energy over the best structure of this formula in the dataset is 0 kJ/mol of formula units. Its crystal system is cubic.

Lattice parameters (Å, degrees): 4.143 4.143 4.143 60.00 60.00 60.00
Fractional coordinates of all 4 atoms:
B 0.000 0.000 0.000
Cu 0.750 0.750 0.750
Ir 0.500 0.500 0.500
Re 0.250 0.250 0.250

---

CuBSbIr: relaxed, PBE.

Summary:
For the volume, the calculation gives 14.39 Å³/atom. Its space-group type is F-43m, No. 216. The total moment is 0.00 μB/f.u. The value obtained for the excess energy over the best structure of this formula in the dataset is 0 kJ/mol of formula units. Its crystal system is cubic.

Lattice parameters (Å, degrees): 4.334 4.334 4.334 60.00 60.00 60.00
Fractional coordinates of all 4 atoms:
B 0.000 0.000 0.000
Cu 0.750 0.750 0.750
Ir 0.250 0.250 0.250
Sb 0.500 0.500 0.500

---

ScCuBIr: relaxed, PBE.

Summary:
For the volume, the calculation gives 13.17 Å³/atom. Its space-group type is F-43m, No. 216. The total moment is 0.00 μB/f.u. The value obtained for the excess energy over the best structure of this formula in the dataset is 0 kJ/mol of formula units. Its crystal system is cubic.

Lattice parameters (Å, degrees): 4.208 4.208 4.208 60.00 60.00 60.00
Fractional coordinates of all 4 atoms:
B 0.000 0.000 0.000
Cu 0.750 0.750 0.750
Ir 0.250 0.250 0.250
Sc 0.500 0.500 0.500

---

ScCuBIr: relaxed, PBE.

Summary:
For the volume, the calculation gives 13.70 Å³/atom. Its space-group type is F-43m, No. 216. The total moment is 0.00 μB/f.u. The value obtained for the excess energy over the best structure of this formula in the dataset is 55 kJ/mol of formula units. Its crystal system is cubic.

Lattice parameters (Å, degrees): 4.264 4.264 4.264 60.00 60.00 60.00
Fractional coordinates of all 4 atoms:
B 0.000 0.000 0.000
Cu 0.750 0.750 0.750
Ir 0.500 0.500 0.500
Sc 0.250 0.250 0.250

---

TaCuBIr: relaxed, PBE.

Summary:
For the volume, the calculation gives 13.33 Å³/atom. Its space-group type is F-43m, No. 216. The total moment is 0.00 μB/f.u. The value obtained for the excess energy over the best structure of this formula in the dataset is 67 kJ/mol of formula units. Its crystal system is cubic.

Lattice parameters (Å, degrees): 4.225 4.225 4.225 60.00 60.00 60.00
Fractional coordinates of all 4 atoms:
B 0.500 0.500 0.500
Cu 0.750 0.750 0.750
Ir 0.000 0.000 0.000
Ta 0.250 0.250 0.250

---

TaCuBIr: relaxed, PBE.

Summary:
For the volume, the calculation gives 13.26 Å³/atom. Its space-group type is F-43m, No. 216. The total moment is 0.00 μB/f.u. The value obtained for the excess energy over the best structure of this formula in the dataset is 65 kJ/mol of formula units. Its crystal system is cubic.

Lattice parameters (Å, degrees): 4.217 4.217 4.217 60.00 60.00 60.00
Fractional coordinates of all 4 atoms:
B 0.000 0.000 0.000
Cu 0.750 0.750 0.750
Ir 0.250 0.250 0.250
Ta 0.500 0.500 0.500

---

TaCuBIr: relaxed, PBE.

Summary:
For the volume, the calculation gives 12.49 Å³/atom. Its space-group type is F-43m, No. 216. The total moment is 0.00 μB/f.u. The value obtained for the excess energy over the best structure of this formula in the dataset is 0 kJ/mol of formula units. Its crystal system is cubic.

Lattice parameters (Å, degrees): 4.135 4.135 4.135 60.00 60.00 60.00
Fractional coordinates of all 4 atoms:
B 0.250 0.250 0.250
Cu 0.750 0.750 0.750
Ir 0.000 0.000 0.000
Ta 0.500 0.500 0.500

---

CuBIrW: relaxed, PBE.

Summary:
For the volume, the calculation gives 12.87 Å³/atom. Its space-group type is F-43m, No. 216. The total moment is 0.00 μB/f.u. The value obtained for the excess energy over the best structure of this formula in the dataset is 54 kJ/mol of formula units. Its crystal system is cubic.

Lattice parameters (Å, degrees): 4.175 4.175 4.175 60.00 60.00 60.00
Fractional coordinates of all 4 atoms:
B 0.000 0.000 0.000
Cu 0.750 0.750 0.750
Ir 0.250 0.250 0.250
W 0.500 0.500 0.500

---

CuBIrW: relaxed, PBE.

Summary:
For the volume, the calculation gives 12.88 Å³/atom. Its space-group type is F-43m, No. 216. The total moment is 0.00 μB/f.u. The value obtained for the excess energy over the best structure of this formula in the dataset is 0 kJ/mol of formula units. Its crystal system is cubic.

Lattice parameters (Å, degrees): 4.177 4.177 4.177 60.00 60.00 60.00
Fractional coordinates of all 4 atoms:
B 0.000 0.000 0.000
Cu 0.750 0.750 0.750
Ir 0.500 0.500 0.500
W 0.250 0.250 0.250